First-principles (GGA-PBE) data for an optimized crystal structure of Sm12In3Au, as listed in the Alexandria database.

It has space group P4/mmm (No. 123), with a = 4.920 Å, b = 4.920 Å, c = 19.457 Å, α = 90.00°, β = 90.00° and γ = 90.00°. Symmetry generates all atoms from Sm at (0.000, 0.000, 0.000), Sm at (0.000, 0.000, 0.244), Sm at (0.000, 0.000, 0.500), Sm at (0.000, 0.500, 0.119), Sm at (0.000, 0.500, 0.372), In at (0.500, 0.500, 0.246), In at (0.500, 0.500, 0.500) and Au at (0.500, 0.500, 0.000).

For the size of the total moment, the calculation gives 0.00 μB per formula unit.


First-principles (GGA-PBE) data for an optimized crystal structure of Sm2InAu, as listed in the Alexandria database.

It has space group R-3m (No. 166, hexagonal axes), with a = 3.9627 Å, b = 3.9627 Å, c = 26.1003 Å, α = 90.00°, β = 90.00° and γ = 120.00°. Symmetry generates all atoms from Sm at (0.0000, 0.0000, 0.2414), In at (0.0000, 0.0000, 0.0000) and Au at (0.0000, 0.0000, 0.5000).

For the size of the total moment, the calculation gives 0.00 μB per formula unit.


First-principles (GGA-PBE) data for an optimized crystal structure of Sm3In4Au2, as listed in the Alexandria database.

It has space group C2/m (No. 12), with a = 11.330 Å, b = 4.835 Å, c = 9.165 Å, α = 90.00°, β = 115.04° and γ = 90.00°. Symmetry generates all atoms from Sm at (0.000, 0.000, 0.000), Sm at (0.177, 0.500, 0.649), In at (0.027, 0.000, 0.361), In at (0.236, 0.500, 0.079) and Au at (0.100, 0.500, 0.271).

For the size of the total moment, the calculation gives 0.00 μB per formula unit.


First-principles (GGA-PBE) data for an optimized crystal structure of Sm3In2Au, as listed in the Alexandria database.

It has space group P4/mmm (No. 123), with a = 3.628 Å, b = 3.628 Å, c = 12.331 Å, α = 90.00°, β = 90.00° and γ = 90.00°. Symmetry generates all atoms from Sm at (0.000, 0.000, 0.000), Sm at (0.000, 0.000, 0.350), In at (0.500, 0.500, 0.175) and Au at (0.500, 0.500, 0.500).

For the size of the total moment, the calculation gives 0.00 μB per formula unit.


Asked for calculated formation energy across the records above, the calculation gives -0.262 -0.463 -0.610 -0.591 eV/atom in order.